Record 1
VASP calculation (PBE) on LaPmO after structural relaxation.

```
6
Lattice="4.469 0.000 0.000 0.000 4.469 0.000 0.000 0.000 7.964" Properties=species:S:1:pos:R:3 pbc="T T T"
La 0.000 0.000 1.991
La 0.000 0.000 5.973
Pm 2.235 2.235 0.000
Pm 2.235 2.235 3.982
O 0.000 2.235 0.000
O 2.235 0.000 3.982
```

Summary:
D(E_F) = 3.98 states/eV/f.u.
Offset from the most stable computed form = 241 meV/atom



Record 2
VASP calculation (PBE) on LaPmO4 after structural relaxation.

```
12
Lattice="6.762 0.000 0.000 0.000 4.072 0.000 -0.910 0.000 6.547" Properties=species:S:1:pos:R:3 pbc="T T T"
La 0.000 0.000 0.000
La 3.381 2.036 0.000
Pm 2.280 0.000 3.016
Pm 5.661 2.036 3.016
O -0.008 0.000 2.472
O 0.123 2.036 5.211
O 1.302 2.036 4.275
O 2.308 0.000 0.642
O 3.373 2.036 2.472
O 3.504 0.000 5.211
O 4.683 0.000 4.275
O 5.689 2.036 0.642
```

Summary:
D(E_F) = 0.00 states/eV/f.u.



Record 3
VASP calculation (PBE) on LaPmPr2O after structural relaxation.

```
5
Lattice="5.175 0.000 0.000 0.000 5.175 0.000 0.000 0.000 5.164" Properties=species:S:1:pos:R:3 pbc="T T T"
La 0.000 0.000 0.000
Pm 2.587 2.587 0.000
Pr 0.000 2.587 2.582
Pr 2.587 0.000 2.582
O 0.000 0.000 2.582
```

Summary:
D(E_F) = 4.92 states/eV/f.u.



Record 4
VASP calculation (PBE) on La2PmPrO after structural relaxation.

```
5
Lattice="5.180 0.000 0.000 0.000 5.180 0.000 0.000 0.000 5.178" Properties=species:S:1:pos:R:3 pbc="T T T"
La 0.000 2.590 0.000
La 2.590 0.000 0.000
Pm 0.000 0.000 2.589
Pr 2.590 2.590 2.589
O 2.590 2.590 0.000
```

Summary:
D(E_F) = 4.74 states/eV/f.u.



Record 5
VASP calculation (PBE) on LaPmPuO6 after structural relaxation.

```
18
Lattice="5.991 0.000 0.000 -2.995 5.188 0.000 0.000 0.000 9.355" Properties=species:S:1:pos:R:3 pbc="T T T"
La 0.000 3.459 2.339
La 2.995 1.729 7.016
Pm 0.000 0.000 0.000
Pm 0.000 0.000 4.678
Pu 0.000 3.459 7.016
Pu 2.995 1.729 2.339
O -0.843 1.901 5.919
O -1.770 3.508 8.113
O 0.843 1.901 8.113
O -0.927 4.968 5.919
O 2.068 0.221 1.242
O 1.225 1.681 3.436
O 1.770 3.508 5.919
O 0.927 4.968 8.113
O 3.923 0.221 3.436
O 2.153 3.287 1.242
O 4.766 1.681 1.242
O 3.838 3.287 3.436
```

Summary:
D(E_F) = 7.51 states/eV/f.u.



Record 6
VASP calculation (PBE) on LaPmS2O after structural relaxation.

```
10
Lattice="4.038 0.000 0.000 0.000 4.038 0.000 0.000 0.000 14.290" Properties=species:S:1:pos:R:3 pbc="T T T"
La 1.010 1.010 1.252
La 3.029 3.029 13.038
Pm 1.010 1.010 8.916
Pm 3.029 3.029 5.374
S 1.010 1.010 5.831
S 1.010 1.010 11.484
S 3.029 3.029 2.806
S 3.029 3.029 8.459
O 1.010 3.029 0.000
O 3.029 1.010 0.000
```

Summary:
D(E_F) = 0.60 states/eV/f.u.



Record 7
VASP calculation (PBE) on LaPmS2O8 after structural relaxation.

```
12
Lattice="5.745 0.000 0.000 -2.872 4.975 0.000 0.000 0.000 6.726" Properties=species:S:1:pos:R:3 pbc="T T T"
La 0.000 0.000 0.000
Pm 0.000 0.000 3.363
S 0.000 3.317 1.320
S 2.872 1.658 5.406
O 0.000 1.893 1.821
O -1.233 4.028 1.821
O 0.000 3.317 6.580
O 1.639 0.946 4.905
O 1.233 4.028 1.821
O 2.872 1.658 0.146
O 4.105 0.946 4.905
O 2.872 3.082 4.905
```

Summary:
D(E_F) = 0.53 states/eV/f.u.



Record 8
VASP calculation (PBE) on La2PmS2O2 after structural relaxation.

```
14
Lattice="4.446 0.000 0.000 0.000 4.446 0.000 0.000 0.000 15.239" Properties=species:S:1:pos:R:3 pbc="T T T"
La 0.000 0.000 2.036
La 0.000 0.000 13.203
La 2.223 2.223 5.583
La 2.223 2.223 9.656
Pm 0.000 0.000 7.619
Pm 2.223 2.223 0.000
S 0.000 0.000 4.856
S 0.000 0.000 10.383
S 2.223 2.223 2.764
S 2.223 2.223 12.475
O 0.000 2.223 0.000
O 0.000 2.223 7.619
O 2.223 0.000 0.000
O 2.223 0.000 7.619
```

Summary:
D(E_F) = 4.32 states/eV/f.u.



Record 9
VASP calculation (PBE) on LaPmSb2O8 after structural relaxation.

```
12
Lattice="-2.707 2.707 5.824 2.707 -2.707 5.824 2.707 2.707 -5.824" Properties=species:S:1:pos:R:3 pbc="T T T"
La 0.000 0.000 0.000
Pm 2.707 0.000 2.912
Sb 0.000 0.000 5.824
Sb 0.000 2.707 2.912
O 1.363 0.948 -1.920
O 1.353 -0.903 4.801
O 1.804 1.353 1.023
O 1.759 -1.344 7.744
O 1.353 3.610 -1.023
O 1.344 1.759 3.904
O 0.903 1.353 6.846
O 0.948 4.051 1.920
```

Summary:
D(E_F) = 0.00 states/eV/f.u.



Record 10
VASP calculation (PBE) on La2PmScO after structural relaxation.

```
5
Lattice="5.423 0.000 0.000 0.000 5.423 0.000 0.000 0.000 4.328" Properties=species:S:1:pos:R:3 pbc="T T T"
La 0.000 2.711 0.000
La 2.711 0.000 0.000
Pm 0.000 0.000 2.164
Sc 2.711 2.711 2.164
O 2.711 2.711 0.000
```

Summary:
D(E_F) = 4.20 states/eV/f.u.



Record 11
VASP calculation (PBE) on La2PmScO6 after structural relaxation.

```
20
Lattice="5.846 0.000 0.000 0.000 6.063 0.000 -5.764 0.000 8.499" Properties=species:S:1:pos:R:3 pbc="T T T"
La -0.077 0.299 2.139
La -2.959 2.733 6.388
La 3.041 3.330 2.110
La 0.159 5.764 6.360
Pm 2.923 0.000 0.000
Pm 0.041 3.031 4.249
Sc -2.882 0.000 4.249
Sc 0.000 3.031 0.000
O -4.708 1.254 7.889
O -1.827 1.777 3.639
O -4.056 4.150 7.951
O -1.174 4.944 3.702
O -2.117 0.352 6.265
O 0.765 2.679 2.016
O -0.682 3.384 6.483
O 2.200 5.711 2.234
O 1.256 1.119 4.797
O 4.138 1.913 0.548
O 1.909 4.286 4.859
O 4.791 4.809 0.610
```

Summary:
D(E_F) = 0.00 states/eV/f.u.



Record 12
VASP calculation (PBE) on La2PmSe2O2 after structural relaxation.

```
14
Lattice="4.479 0.000 0.000 0.000 4.479 0.000 0.000 0.000 15.825" Properties=species:S:1:pos:R:3 pbc="T T T"
La 0.000 0.000 2.019
La 0.000 0.000 13.806
La 2.240 2.240 5.893
La 2.240 2.240 9.931
Pm 0.000 0.000 7.912
Pm 2.240 2.240 0.000
Se 0.000 0.000 5.031
Se 0.000 0.000 10.793
Se 2.240 2.240 2.881
Se 2.240 2.240 12.944
O 0.000 2.240 0.000
O 0.000 2.240 7.912
O 2.240 0.000 0.000
O 2.240 0.000 7.912
```

Summary:
D(E_F) = 4.49 states/eV/f.u.



Record 13
VASP calculation (PBE) on LaPm2SeO8 after structural relaxation.

```
12
Lattice="4.492 0.000 0.000 -0.007 5.318 0.000 -0.253 -0.397 7.118" Properties=species:S:1:pos:R:3 pbc="T T T"
La 0.000 0.000 0.000
Pm 1.853 2.168 5.295
Pm 2.380 2.753 1.823
Se -0.126 -0.199 3.559
O 0.256 3.880 2.182
O 0.420 3.990 4.866
O 1.459 0.666 3.359
O 1.870 1.380 0.037
O 2.363 3.541 7.081
O 2.774 4.255 3.759
O 3.812 0.931 2.252
O 3.976 1.041 4.936
```



Record 14
VASP calculation (PBE) on La2PmSmO after structural relaxation.

```
5
Lattice="5.249 0.000 0.000 0.000 5.249 0.000 0.000 0.000 4.953" Properties=species:S:1:pos:R:3 pbc="T T T"
La 0.000 2.625 0.000
La 2.625 0.000 0.000
Pm 0.000 0.000 2.476
Sm 2.625 2.625 2.476
O 2.625 2.625 0.000
```

Summary:
D(E_F) = 5.20 states/eV/f.u.



Record 15
VASP calculation (PBE) on La2Pm4Sn3O2 after structural relaxation.

```
11
Lattice="-2.415 2.415 13.051 2.415 -2.415 13.051 2.415 2.415 -13.051" Properties=species:S:1:pos:R:3 pbc="T T T"
La 0.000 0.000 5.046
La 0.000 0.000 21.057
Pm 2.415 0.000 2.120
Pm 2.415 0.000 10.931
Pm 0.000 2.415 2.120
Pm 0.000 2.415 10.931
Sn 0.000 0.000 8.490
Sn 0.000 0.000 13.051
Sn 0.000 0.000 17.613
O 0.000 0.000 2.570
O 0.000 0.000 23.533
```

Summary:
D(E_F) = 6.32 states/eV/f.u.



Record 16
VASP calculation (PBE) on La2PmSnO after structural relaxation.

```
5
Lattice="5.053 0.000 0.000 0.000 5.053 0.000 0.000 0.000 4.966" Properties=species:S:1:pos:R:3 pbc="T T T"
La 0.000 2.526 0.000
La 2.526 0.000 0.000
Pm 0.000 0.000 2.483
Sn 2.526 2.526 2.483
O 0.000 0.000 0.000
```

Summary:
D(E_F) = 4.42 states/eV/f.u.



Record 17
VASP calculation (PBE) on La12PmSn4O3 after structural relaxation.

```
20
Lattice="-5.184 5.184 5.184 5.184 -5.184 5.184 5.184 5.184 -5.184" Properties=species:S:1:pos:R:3 pbc="T T T"
La 2.798 0.000 0.000
La 7.570 0.000 0.000
La 5.184 2.592 0.000
La 5.184 0.000 2.592
La 0.000 2.798 0.000
La 0.000 0.000 2.798
La 2.592 5.184 0.000
La 2.592 0.000 5.184
La 0.000 7.570 0.000
La 0.000 0.000 7.570
La 0.000 5.184 2.592
La 0.000 2.592 5.184
Pm 0.000 0.000 0.000
Sn 2.592 2.592 -2.592
Sn 2.592 -2.592 2.592
Sn -2.592 2.592 2.592
Sn 2.592 2.592 2.592
O 5.184 0.000 0.000
O 0.000 5.184 0.000
O 0.000 0.000 5.184
```

Summary:
D(E_F) = 23.67 states/eV/f.u.



Record 18
VASP calculation (PBE) on LaPmTa2O8 after structural relaxation.

```
12
Lattice="-2.696 2.696 5.772 2.696 -2.696 5.772 2.696 2.696 -5.772" Properties=species:S:1:pos:R:3 pbc="T T T"
La 0.000 0.000 0.000
Pm 2.696 0.000 2.886
Ta 0.000 0.000 5.772
Ta 0.000 2.696 2.886
O 1.375 0.912 -1.893
O 1.330 -0.868 4.750
O 1.828 1.366 1.022
O 1.784 -1.321 7.665
O 1.366 3.564 -1.022
O 1.321 1.784 3.879
O 0.868 1.330 6.794
O 0.912 4.017 1.893
```

Summary:
D(E_F) = 0.00 states/eV/f.u.



Record 19
VASP calculation (PBE) on La2TbPmO after structural relaxation.

```
5
Lattice="5.318 0.000 0.000 0.000 5.318 0.000 0.000 0.000 4.769" Properties=species:S:1:pos:R:3 pbc="T T T"
La 0.000 2.659 0.000
La 2.659 0.000 0.000
Tb 0.000 0.000 2.384
Pm 2.659 2.659 2.384
O 0.000 0.000 0.000
```

Summary:
D(E_F) = 5.43 states/eV/f.u.



Record 20
VASP calculation (PBE) on La2PmTcO8 after structural relaxation.

```
12
Lattice="5.268 0.000 0.000 0.000 7.004 0.000 -0.059 0.000 5.270" Properties=species:S:1:pos:R:3 pbc="T T T"
La 0.000 1.726 0.000
La 0.000 5.279 0.000
Pm 2.605 3.502 2.635
Tc 2.605 0.000 2.635
O 0.993 3.502 1.014
O 1.276 0.000 1.307
O 1.684 1.421 3.562
O 1.684 5.584 3.562
O 3.526 1.421 1.708
O 3.526 5.584 1.708
O 3.933 0.000 3.963
O 4.217 3.502 4.256
```



Record 21
VASP calculation (PBE) on LaPmTcO6 after structural relaxation.

```
9
Lattice="5.627 0.000 0.000 -2.813 4.873 0.000 0.000 0.000 5.051" Properties=species:S:1:pos:R:3 pbc="T T T"
La 0.000 0.000 0.000
Pm 2.813 1.624 2.526
Tc 0.000 3.249 2.526
O -0.780 1.845 1.421
O -1.606 3.275 3.631
O 0.780 1.845 3.631
O -0.826 4.627 1.421
O 1.606 3.275 1.421
O 0.826 4.627 3.631
```

Summary:
D(E_F) = 5.04 states/eV/f.u.



Record 22
VASP calculation (PBE) on LaPmTc2O8 after structural relaxation.

```
12
Lattice="-2.672 2.672 5.841 2.672 -2.672 5.841 2.672 2.672 -5.841" Properties=species:S:1:pos:R:3 pbc="T T T"
La 0.000 0.000 0.000
Pm 2.672 0.000 2.920
Tc 0.000 0.000 5.841
Tc 0.000 2.672 2.920
O 1.340 -0.821 4.843
O 1.852 1.332 0.997
O -0.867 1.342 1.954
O 1.332 3.493 -0.997
O 1.330 1.805 3.887
O 0.821 1.340 6.838
O 0.867 4.002 1.954
O -1.330 3.540 3.887
```

Summary:
D(E_F) = 0.48 states/eV/f.u.



Values of raw formation energy, in order: -1526 -2898 -1097 -1119 -2990 -2552 -1901 -2434 -2312 -1139 -3423 -2379 -2217 -1122 -1525 -1516 -1003 -3227 -1133 -2555 -2450 -2233, all in meV/atom.